DFT (PBE) results for Mg2AgH2 after structural relaxation.

Summary:
polymorph energy (0 for the lowest one)	0.183	eV per atom
magnetization	0.00	Bohr magnetons per cell
DOS(E_F)	2.19	states/eV per cell

abc: 4.7304 4.7304 6.5334
angles: 90.00 90.00 90.00
Space group I4/mmm (No. 139)
Unique sites:
Mg (0.0000, 0.5000, 0.2500)
Ag (0.0000, 0.0000, 0.0000)
H (0.0000, 0.0000, 0.2622)



DFT (PBE) results for Mg2AgH after structural relaxation.

Summary:
polymorph energy (0 for the lowest one)	0.000	eV per atom
magnetization	0.00	Bohr magnetons per cell
DOS(E_F)	1.97	states/eV per cell

abc: 3.1677 3.1677 21.0480
angles: 90.00 90.00 120.00
Space group R-3m (No. 166, hexagonal axes)
Unique sites:
Mg (0.0000, 0.0000, 0.2289)
Ag (0.0000, 0.0000, 0.0000)
H (0.0000, 0.0000, 0.5000)



DFT (PBE) results for Mg2AgH after structural relaxation.

Summary:
polymorph energy (0 for the lowest one)	0.292	eV per atom
magnetization	0.00	Bohr magnetons per cell
DOS(E_F)	6.24	states/eV per cell

abc: 6.4640 6.4640 6.4640
angles: 90.00 90.00 90.00
Space group Fm-3m (No. 225)
Unique sites:
Mg (0.2500, 0.2500, 0.2500)
Ag (0.0000, 0.0000, 0.0000)
H (0.0000, 0.0000, 0.5000)



DFT (PBE) results for MgAg2H after structural relaxation.

Summary:
polymorph energy (0 for the lowest one)	0.000	eV per atom
magnetization	0.00	Bohr magnetons per cell
DOS(E_F)	4.23	states/eV per cell

abc: 5.9158 5.9158 7.5549
angles: 90.00 90.00 90.00
Space group I-42d (No. 122)
Unique sites:
Mg (0.0000, 0.0000, 0.0000)
Ag (0.1101, 0.2500, 0.6250)
H (0.0000, 0.0000, 0.5000)



DFT (PBE) results for Mg12Ag3H5 after structural relaxation.

Summary:
magnetization	0.00	Bohr magnetons per cell
DOS(E_F)	58.94	states/eV per cell
raw total energy	-2.224	eV/atom

abc: 13.9916 13.9916 13.9916
angles: 90.00 90.00 90.00
Space group Ia-3d (No. 230)
Unique sites:
Mg (0.0376, 0.0551, 0.6505)
Ag (0.0000, 0.2500, 0.1250)
H (0.0000, 0.0000, 0.0000)
H (0.0000, 0.2500, 0.3750)



DFT (PBE) results for Mg2AgH2 after structural relaxation.

Summary:
polymorph energy (0 for the lowest one)	0.280	eV per atom
magnetization	0.00	Bohr magnetons per cell
DOS(E_F)	2.40	states/eV per cell

abc: 6.6684 6.6684 2.8679
angles: 90.00 90.00 90.00
Space group P4/mbm (No. 127)
Unique sites:
Mg (0.1649, 0.3351, 0.0000)
Ag (0.0000, 0.0000, 0.5000)
H (0.1165, 0.6165, 0.5000)



DFT (PBE) results for Na2MgAgH after structural relaxation.

Summary:
magnetization	0.00	Bohr magnetons per cell
DOS(E_F)	1.59	states/eV per cell
raw total energy	-2.065	eV/atom

abc: 4.5326 4.5326 4.5865
angles: 90.00 90.00 90.00
Space group P4/mmm (No. 123)
Unique sites:
Na (0.0000, 0.5000, 0.0000)
Mg (0.0000, 0.0000, 0.5000)
Ag (0.5000, 0.5000, 0.5000)
H (0.0000, 0.0000, 0.0000)



DFT (PBE) results for Mg2AgHPb after structural relaxation.

Summary:
magnetization	0.00	Bohr magnetons per cell
DOS(E_F)	1.05	states/eV per cell
raw total energy	-2.599	eV/atom

abc: 4.7785 4.7785 3.9927
angles: 90.00 90.00 90.00
Space group P4/mmm (No. 123)
Unique sites:
Mg (0.0000, 0.5000, 0.0000)
Ag (0.0000, 0.0000, 0.5000)
H (0.0000, 0.0000, 0.0000)
Pb (0.5000, 0.5000, 0.5000)